1.
Here is an optimized crystal structure of Ag2Br2Cl from the Alexandria database. Energies are from PBE-GGA.

It has space group I4/mmm (No. 139), with a = 4.455 Å, b = 4.455 Å, c = 13.016 Å, α = 90.00°, β = 90.00° and γ = 90.00°. The asymmetric unit holds Ag at (0.000, 0.000, 0.110), Br at (0.000, 0.500, 0.250) and Cl at (0.000, 0.000, 0.500).

The total energy comes out at -2.11 eV per atom. The uncorrected formation energy comes out at 1.58 kcal/mol of atoms.

2.
Here is an optimized crystal structure of SrAg6Au6 from the Alexandria database. Energies are from PBE-GGA.

It has space group Immm (No. 71), with a = 5.500 Å, b = 9.708 Å, c = 9.764 Å, α = 90.00°, β = 90.00° and γ = 90.00°. The asymmetric unit holds Sr at (0.000, 0.000, 0.000), Ag at (0.000, 0.000, 0.356), Ag at (0.000, 0.280, 0.500), Ag at (0.000, 0.355, 0.000), Au at (0.000, 0.500, 0.284) and Au at (0.250, 0.250, 0.250).

The total energy comes out at -3.14 eV per atom. Its formation enthalpy at 0 K is -0.18 eV per atom.

3.
Here is an optimized crystal structure of TbPa5Sb6 from the Alexandria database. Energies are from PBE-GGA.

It has space group C2/m (No. 12), with a = 7.561 Å, b = 13.094 Å, c = 7.555 Å, α = 90.00°, β = 109.49° and γ = 90.00°. The asymmetric unit holds Tb at (0.000, 0.000, 0.000), Pa at (0.000, 0.166, 0.500), Pa at (0.000, 0.333, 0.000), Pa at (0.000, 0.500, 0.500), Sb at (0.249, 0.166, 0.249) and Sb at (0.250, 0.000, 0.751).

The total energy comes out at -6.95 eV per atom. The uncorrected formation energy comes out at -12.63 kcal/mol of atoms.

4.
Here is an optimized crystal structure of Na4B7C from the Alexandria database. Energies are from PBE-GGA.

It has space group Pmma (No. 51), with a = 8.658 Å, b = 5.815 Å, c = 5.275 Å, α = 90.00°, β = 90.00° and γ = 90.00°. The asymmetric unit holds Na at (0.000, 0.000, 0.000), Na at (0.000, 0.249, 0.500), Na at (0.000, 0.500, 0.000), B at (0.250, 0.000, 0.333), B at (0.250, 0.000, 0.654), B at (0.250, 0.255, 0.847), B at (0.250, 0.263, 0.177), B at (0.250, 0.500, 0.635) and C at (0.250, 0.500, 0.335).

The total energy comes out at -4.86 eV per atom. Its formation enthalpy at 0 K is 0.24 eV per atom.

5.
Here is an optimized crystal structure of NaRhPb2O6 from the Alexandria database. Energies are from PBE-GGA.

It has space group R3 (No. 146, hexagonal axes), with a = 5.6427 Å, b = 5.6427 Å, c = 15.0701 Å, α = 90.00°, β = 90.00° and γ = 120.00°. The asymmetric unit holds Na at (0.0000, 0.0000, 0.0000), Rh at (0.0000, 0.0000, 0.4793), Pb at (0.0000, 0.0000, 0.2709), Pb at (0.0000, 0.0000, 0.7861), O at (0.0021, 0.7265, 0.3960) and O at (0.0100, 0.3824, 0.2171).

The total energy comes out at -5.60 eV per atom. The uncorrected formation energy comes out at -23.32 kcal/mol of atoms.

6.
Here is an optimized crystal structure of SrCa2ErTe4 from the Alexandria database. Energies are from PBE-GGA.

It has space group P2/m (No. 10), with a = 7.800 Å, b = 4.495 Å, c = 7.847 Å, α = 90.00°, β = 109.26° and γ = 90.00°. The asymmetric unit holds Sr at (0.000, 0.000, 0.000), Ca at (0.500, 0.000, 0.500), Ca at (0.500, 0.500, 0.000), Er at (0.000, 0.500, 0.500), Te at (0.246, 0.000, 0.738) and Te at (0.254, 0.500, 0.264).

The total energy comes out at -4.39 eV per atom. The uncorrected formation energy comes out at -35.45 kcal/mol of atoms.

7.
Here is an optimized crystal structure of Pr2Cu3Sn5 from the Alexandria database. Energies are from PBE-GGA.

It has space group Cmc2_1 (No. 36), with a = 4.575 Å, b = 24.925 Å, c = 8.274 Å, α = 90.00°, β = 90.00° and γ = 90.00°. The asymmetric unit holds Pr at (0.000, 0.035, 0.000), Pr at (0.000, 0.329, 0.034), Cu at (0.000, 0.092, 0.662), Cu at (0.000, 0.261, 0.673), Cu at (0.000, 0.455, 0.858), Sn at (0.000, 0.098, 0.349), Sn at (0.000, 0.171, 0.866), Sn at (0.000, 0.243, 0.346), Sn at (0.000, 0.366, 0.616) and Sn at (0.000, 0.457, 0.191).

The total energy comes out at -4.55 eV per atom. Its formation enthalpy at 0 K is -0.36 eV per atom.

8.
Here is an optimized crystal structure of LaCd2Co from the Alexandria database. Energies are from PBE-GGA.

It has space group R-3m (No. 166, hexagonal axes), with a = 3.1880 Å, b = 3.1880 Å, c = 29.9629 Å, α = 90.00°, β = 90.00° and γ = 120.00°. The asymmetric unit holds La at (0.0000, 0.0000, 0.0000), Cd at (0.0000, 0.0000, 0.2345) and Co at (0.0000, 0.0000, 0.5000).

The total energy comes out at -3.17 eV per atom. Its formation enthalpy at 0 K is 0.29 eV per atom.

9.
Here is an optimized crystal structure of Be2NbCu from the Alexandria database. Energies are from PBE-GGA.

It has space group I-42d (No. 122), with a = 3.855 Å, b = 3.855 Å, c = 14.421 Å, α = 90.00°, β = 90.00° and γ = 90.00°. The asymmetric unit holds Be at (0.049, 0.250, 0.125), Nb at (0.000, 0.000, 0.500) and Cu at (0.000, 0.000, 0.000).

The total energy comes out at -4.88 eV per atom. Its formation enthalpy at 0 K is 0.53 eV per atom.

10.
Here is an optimized crystal structure of ErBeRh from the Alexandria database. Energies are from PBE-GGA.

It has space group P-62m (No. 189), with a = 6.7053 Å, b = 6.7053 Å, c = 3.8816 Å, α = 90.00°, β = 90.00° and γ = 120.00°. The asymmetric unit holds Er at (0.0000, 0.4158, 0.0000), Be at (0.0000, 0.7772, 0.5000), Rh at (0.0000, 0.0000, 0.0000) and Rh at (0.3333, 0.6667, 0.5000).

The total energy comes out at -5.78 eV per atom. Its formation enthalpy at 0 K is -0.56 eV per atom.

11.
Here is an optimized crystal structure of BeCrTc from the Alexandria database. Energies are from PBE-GGA.

It has space group Fddd (No. 70, origin choice 2), with a = 4.459 Å, b = 7.749 Å, c = 15.659 Å, α = 90.00°, β = 90.00° and γ = 90.00°. The asymmetric unit holds Be at (0.125, 0.125, 0.000), Cr at (0.125, 0.292, 0.125) and Tc at (0.125, 0.125, 0.545).

The total energy comes out at -8.02 eV per atom. Its formation enthalpy at 0 K is -0.12 eV per atom.

12.
Here is an optimized crystal structure of Pt2Au from the Alexandria database. Energies are from PBE-GGA.

It has space group Pa-3 (No. 205), with a = 6.264 Å, b = 6.264 Å, c = 6.264 Å, α = 90.00°, β = 90.00° and γ = 90.00°. The asymmetric unit holds Pt at (0.118, 0.118, 0.118) and Au at (0.000, 0.000, 0.500).

The total energy comes out at -4.32 eV per atom. Its formation enthalpy at 0 K is 0.80 eV per atom.

13.
Here is an optimized crystal structure of Cs2ErPb3Cl12 from the Alexandria database. Energies are from PBE-GGA.

It has space group R-3m (No. 166, hexagonal axes), with a = 10.0603 Å, b = 10.0603 Å, c = 25.1755 Å, α = 90.00°, β = 90.00° and γ = 120.00°. The asymmetric unit holds Cs at (0.0000, 0.0000, 0.1021), Er at (0.0000, 0.0000, 0.5000), Pb at (0.0000, 0.5000, 0.0000), Cl at (0.0498, 0.5249, 0.3657) and Cl at (0.0802, 0.5401, 0.1104).

The total energy comes out at -3.69 eV per atom. The uncorrected formation energy comes out at -34.44 kcal/mol of atoms.

14.
Here is an optimized crystal structure of HfBeRe3 from the Alexandria database. Energies are from PBE-GGA.

It has space group Pm-3m (No. 221), with a = 4.761 Å, b = 4.761 Å, c = 4.761 Å, α = 90.00°, β = 90.00° and γ = 90.00°. The asymmetric unit holds Hf at (0.000, 0.000, 0.000), Be at (0.500, 0.500, 0.500) and Re at (0.000, 0.000, 0.500).

The total energy comes out at -7.36 eV per atom. Its formation enthalpy at 0 K is 2.84 eV per atom.

15.
Here is an optimized crystal structure of Y3Zn2Rh7 from the Alexandria database. Energies are from PBE-GGA.

It has space group R-3m (No. 166, hexagonal axes), with a = 5.3946 Å, b = 5.3946 Å, c = 24.9690 Å, α = 90.00°, β = 90.00° and γ = 120.00°. The asymmetric unit holds Y at (0.0000, 0.0000, 0.0000), Y at (0.0000, 0.0000, 0.1406), Zn at (0.0000, 0.0000, 0.3345), Rh at (0.0000, 0.0000, 0.5000) and Rh at (0.0043, 0.5021, 0.9173).

The total energy comes out at -6.75 eV per atom. Its formation enthalpy at 0 K is -0.64 eV per atom.

16.
Here is an optimized crystal structure of YPRh from the Alexandria database. Energies are from PBE-GGA.

It has space group I4mm (No. 107), with a = 3.244 Å, b = 3.244 Å, c = 10.192 Å, α = 90.00°, β = 90.00° and γ = 90.00°. The asymmetric unit holds Y at (0.000, 0.000, 0.000), P at (0.000, 0.000, 0.301) and Rh at (0.000, 0.000, 0.707).

The total energy comes out at -7.09 eV per atom. Its formation enthalpy at 0 K is -0.68 eV per atom.

17.
Here is an optimized crystal structure of ZnAgO2F from the Alexandria database. Energies are from PBE-GGA.

It has space group P4/mmm (No. 123), with a = 3.888 Å, b = 3.888 Å, c = 4.060 Å, α = 90.00°, β = 90.00° and γ = 90.00°. The asymmetric unit holds Zn at (0.000, 0.000, 0.000), Ag at (0.500, 0.500, 0.500), O at (0.000, 0.500, 0.000) and F at (0.000, 0.000, 0.500).

The total energy comes out at -3.66 eV per atom. The uncorrected formation energy comes out at -11.01 kcal/mol of atoms.

18.
Here is an optimized crystal structure of ReNiSe from the Alexandria database. Energies are from PBE-GGA.

It has space group F-43m (No. 216), with a = 5.682 Å, b = 5.682 Å, c = 5.682 Å, α = 90.00°, β = 90.00° and γ = 90.00°. The asymmetric unit holds Re at (0.000, 0.000, 0.000), Ni at (0.000, 0.000, 0.500) and Se at (0.250, 0.250, 0.250).

The total energy comes out at -6.67 eV per atom. The uncorrected formation energy comes out at 12.99 kcal/mol of atoms.

19.
Here is an optimized crystal structure of Tb3SmDy from the Alexandria database. Energies are from PBE-GGA.

It has space group P2_1/m (No. 11), with a = 6.311 Å, b = 5.691 Å, c = 9.631 Å, α = 90.00°, β = 109.12° and γ = 90.00°. The asymmetric unit holds Tb at (0.035, 0.250, 0.401), Tb at (0.166, 0.750, 0.001), Tb at (0.434, 0.250, 0.201), Sm at (0.232, 0.250, 0.800) and Dy at (0.367, 0.750, 0.401).

The total energy comes out at -4.63 eV per atom. Its formation enthalpy at 0 K is 0.02 eV per atom.

20.
Here is an optimized crystal structure of TiAgBi2Ir from the Alexandria database. Energies are from PBE-GGA.

It has space group P4/mmm (No. 123), with a = 5.208 Å, b = 5.208 Å, c = 5.129 Å, α = 90.00°, β = 90.00° and γ = 90.00°. The asymmetric unit holds Ti at (0.000, 0.000, 0.000), Ag at (0.500, 0.500, 0.000), Bi at (0.000, 0.500, 0.500) and Ir at (0.500, 0.500, 0.500).

The total energy comes out at -4.58 eV per atom. Its formation enthalpy at 0 K is 0.89 eV per atom.

21.
Here is an optimized crystal structure of YTm8Tl2 from the Alexandria database. Energies are from PBE-GGA.

It has space group C2/m (No. 12), with a = 8.794 Å, b = 15.054 Å, c = 5.498 Å, α = 90.00°, β = 113.40° and γ = 90.00°. The asymmetric unit holds Y at (0.000, 0.000, 0.000), Tm at (0.000, 0.217, 0.000), Tm at (0.098, 0.500, 0.798), Tm at (0.209, 0.114, 0.619) and Tl at (0.000, 0.306, 0.500).

The total energy comes out at -4.26 eV per atom. Its formation enthalpy at 0 K is 0.01 eV per atom.

22.
Here is an optimized crystal structure of Mn2V2Sn from the Alexandria database. Energies are from PBE-GGA.

It has space group P4/mbm (No. 127), with a = 7.054 Å, b = 7.054 Å, c = 2.930 Å, α = 90.00°, β = 90.00° and γ = 90.00°. The asymmetric unit holds Mn at (0.130, 0.370, 0.000), V at (0.160, 0.660, 0.500) and Sn at (0.000, 0.000, 0.000).

The total energy comes out at -7.98 eV per atom. Its formation enthalpy at 0 K is 0.14 eV per atom.